(1)
Here is an optimized crystal structure of Y2TlIn from the Alexandria database. Energies are from PBEsol.

Cell lengths 3.513, 4.138, 7.029 Å; angles 90.00, 90.00, 90.00 degrees
Fractional coordinates of all 4 atoms:
Y 0.000 0.000 0.249
Y 0.000 0.000 0.751
Tl 0.500 0.500 0.500
In 0.500 0.500 0.000

**E_tot**: -5.321 eV per atom
**Total magnetic moment**: 0.0 μB per formula unit
**Energy of formation**: -507 meV per atom
**Volume**: 102.2 Å³/cell
**Density**: 8.08 Mg/m³

=====

(2)
Here is an optimized crystal structure of Y2TlIn from the Alexandria database. Energies are from PBEsol.

Cell lengths 3.564, 3.564, 8.522 Å; angles 90.00, 90.00, 90.00 degrees
Fractional coordinates of all 4 atoms:
Y 0.000 0.000 0.000
Y 0.500 0.500 0.289
Tl 0.000 0.000 0.535
In 0.500 0.500 0.758

**E_tot**: -5.039 eV per atom
**Total magnetic moment**: 0.0 μB per formula unit
**Energy of formation**: -225 meV per atom
**Volume**: 108.2 Å³/cell
**Density**: 7.62 Mg/m³

=====

(3)
Here is an optimized crystal structure of Y2TlIn from the Alexandria database. Energies are from PBEsol.

Cell lengths 5.468, 5.468, 3.475 Å; angles 90.00, 90.00, 100.88 degrees
Fractional coordinates of all 4 atoms:
Y 0.000 0.500 0.000
Y 0.500 0.000 0.000
Tl 0.000 0.000 0.500
In 0.500 0.500 0.500

**E_tot**: -5.320 eV per atom
**Total magnetic moment**: 0.0 μB per formula unit
**Energy of formation**: -505 meV per atom
**Volume**: 102.0 Å³/cell
**Density**: 8.09 Mg/m³

=====

(4)
Here is an optimized crystal structure of Y2TlIn from the Alexandria database. Energies are from PBEsol.

Cell lengths 5.184, 5.184, 6.360 Å; angles 101.86, 101.86, 41.56 degrees
Fractional coordinates of all 4 atoms:
Y 0.250 0.250 0.248
Y 0.750 0.750 0.752
Tl 0.000 0.000 0.500
In 0.500 0.500 0.000

**E_tot**: -5.178 eV per atom
**Total magnetic moment**: 0.0 μB per formula unit
**Energy of formation**: -364 meV per atom
**Volume**: 110.6 Å³/cell
**Density**: 7.46 Mg/m³